# PBE BeCr2GeC, optimized geometry
# - E_tot: -7.35 eV/atom
# - Total magnetic moment: 0.57 μB/atom
data_BeCr2GeC
_symmetry_space_group_name_H-M 'P 4/m m m'
_symmetry_Int_Tables_number 123
_symmetry_space_group_name_Hall '-P 4 2'
_cell_length_a 3.9723
_cell_length_b 3.9723
_cell_length_c 3.4412
_cell_angle_alpha 90.00
_cell_angle_beta 90.00
_cell_angle_gamma 90.00
loop_
_atom_site_label
_atom_site_type_symbol
_atom_site_fract_x
_atom_site_fract_y
_atom_site_fract_z
_atom_site_occupancy
Be1 Be 0.0000 0.0000 0.0000 1
Cr1 Cr 0.0000 0.5000 0.5000 1
Ge1 Ge 0.5000 0.5000 0.0000 1
C1 C 0.0000 0.0000 0.5000 1